Entry 1:
The following is a PBE-GGA calculation of a geometry-optimized TbSc2Sb structure, from Alexandria.

Cell and atoms, written as POSCAR:
```
TbSc2Sb
1.0
3.8408 0.0000 0.0000
1.9204 3.3262 0.0000
1.9204 1.1087 8.9195
Tb Sc Sb
1 2 1
Direct
0.5012 0.5012 0.4963
0.2656 0.2656 0.2032
0.0673 0.0673 0.7980
0.6658 0.6658 0.0026
```

Crystal system: trigonal
E_form (uncorrected) (meV per atom): -249
Energy relative to the lowest polymorph listed for this composition (meV/atom): 312.2

=====

Entry 2:
The following is a PBE-GGA calculation of a geometry-optimized TbPm4 structure, from Alexandria.

Cell and atoms, written as POSCAR:
```
TbPm4
1.0
3.5871 0.0046 0.5741
1.7462 3.1334 0.5741
-0.5609 -0.3300 14.9332
Pm Tb
4 1
Direct
0.3992 0.3992 0.8026
0.7995 0.7995 0.6007
0.2005 0.2005 0.3993
0.6008 0.6008 0.1974
0.0000 0.0000 0.0000
```

DFT formation energy (eV per formula unit): 0.055
Crystal system: monoclinic
Energy relative to the lowest polymorph listed for this composition (meV/atom): 0.0

=====

Entry 3:
The following is a PBE-GGA calculation of a geometry-optimized CuPt3 structure, from Alexandria.

Cell and atoms, written as POSCAR:
```
CuPt3
1.0
-3.3481 -3.2768 2.8819
5.4528 -0.4978 0.5203
-0.0470 3.0343 3.3954
Pt Cu
6 2
Direct
0.1675 0.8325 0.7500
0.8325 0.6650 0.2500
0.1675 0.3350 0.7500
0.3350 0.1675 0.2500
0.6650 0.8325 0.7500
0.8325 0.1675 0.2500
0.3333 0.6667 0.2500
0.6667 0.3333 0.7500
```

DFT formation energy (eV per formula unit): -0.270
Crystal system: hexagonal

=====

Entry 4:
The following is a PBE-GGA calculation of a geometry-optimized LaCeGdIn structure, from Alexandria.

Cell and atoms, written as POSCAR:
```
LaCeGdIn
1.0
5.5212 0.0000 0.0000
2.7606 4.7815 0.0000
2.7606 1.5938 4.5080
La Gd In Ce
1 1 1 1
Direct
0.0000 0.0000 0.0000
0.5000 0.5000 0.5000
0.2500 0.2500 0.2500
0.7500 0.7500 0.7500
```

DFT formation energy (eV per formula unit): -0.366
Crystal system: cubic

=====

- What is the formula in the fourth record?
  LaCeGdIn

=====

- Which formula does entry 1 have?
  TbSc2Sb

=====

- What is the formula in the first record?
  TbSc2Sb